Here is a geometry-optimized CuSnPdAu structure from Alexandria. Energies are from PBE-GGA.

Geometry as POSCAR:
```
CuSnPdAu
1.0
4.530 -2.007 0.000
4.530 2.007 0.000
-1.834 0.000 3.717
Cu Sn Pd Au
1 1 1 1
Cartesian
0.000 0.000 0.000 Cu
3.611 0.000 1.854 Sn
0.924 0.000 2.793 Pd
6.308 0.000 0.895 Au
```

Properties
**E_tot**: -4.331 eV per atom
**D(E_F)**: 0.4529 states/eV per atom
**Total moment**: 0.0 Bohr magnetons per cell
**DFT formation energy**: -0.189 eV per atom
**Energy relative to the lowest polymorph listed for this composition**: 0.0 kJ per mole of atoms

***

Here is a geometry-optimized CuSnPdAu structure from Alexandria. Energies are from PBE-GGA.

Geometry as POSCAR:
```
CuSnPdAu
1.0
0.000 3.234 3.234
3.234 0.000 3.234
3.234 3.234 0.000
Cu Sn Pd Au
1 1 1 1
Cartesian
0.000 0.000 0.000 Cu
3.234 3.234 3.234 Sn
1.617 1.617 1.617 Pd
4.851 4.851 4.851 Au
```

Properties
**E_tot**: -4.321 eV per atom
**D(E_F)**: 0.5859 states/eV per atom
**Total moment**: 0.0 Bohr magnetons per cell
**DFT formation energy**: -0.179 eV per atom
**Energy relative to the lowest polymorph listed for this composition**: 0.9 kJ per mole of atoms

***

Here is a geometry-optimized Sr2Cu2Pd5Au structure from Alexandria. Energies are from PBE-GGA.

Geometry as POSCAR:
```
Sr2Cu2Pd5Au
1.0
9.694 0.000 0.000
0.000 9.694 0.000
0.000 0.000 3.961
Sr Cu Pd Au
4 4 10 2
Cartesian
1.748 3.099 0.000 Sr
3.099 7.946 0.000 Sr
6.595 1.748 0.000 Sr
7.946 6.595 0.000 Sr
1.136 5.983 0.000 Cu
3.711 1.136 0.000 Cu
5.983 8.558 0.000 Cu
8.558 3.711 0.000 Cu
0.000 4.847 1.981 Pd
0.612 7.660 1.981 Pd
2.034 0.612 1.981 Pd
2.813 5.459 1.981 Pd
4.235 2.813 1.981 Pd
4.847 0.000 1.981 Pd
5.459 6.881 1.981 Pd
6.881 4.235 1.981 Pd
7.660 9.082 1.981 Pd
9.082 2.034 1.981 Pd
0.000 0.000 0.000 Au
4.847 4.847 0.000 Au
```

Properties
**E_tot**: -4.478 eV per atom
**D(E_F)**: 0.2119 states/eV per atom
**Total moment**: 0.0 Bohr magnetons per cell
**DFT formation energy**: -0.398 eV per atom

***

Copy entry 3 word for word.
Here is a geometry-optimized Sr2Cu2Pd5Au structure from Alexandria. Energies are from PBE-GGA.

Geometry as POSCAR:
```
Sr2Cu2Pd5Au
1.0
9.694 0.000 0.000
0.000 9.694 0.000
0.000 0.000 3.961
Sr Cu Pd Au
4 4 10 2
Cartesian
1.748 3.099 0.000 Sr
3.099 7.946 0.000 Sr
6.595 1.748 0.000 Sr
7.946 6.595 0.000 Sr
1.136 5.983 0.000 Cu
3.711 1.136 0.000 Cu
5.983 8.558 0.000 Cu
8.558 3.711 0.000 Cu
0.000 4.847 1.981 Pd
0.612 7.660 1.981 Pd
2.034 0.612 1.981 Pd
2.813 5.459 1.981 Pd
4.235 2.813 1.981 Pd
4.847 0.000 1.981 Pd
5.459 6.881 1.981 Pd
6.881 4.235 1.981 Pd
7.660 9.082 1.981 Pd
9.082 2.034 1.981 Pd
0.000 0.000 0.000 Au
4.847 4.847 0.000 Au
```

Properties
**E_tot**: -4.478 eV per atom
**D(E_F)**: 0.2119 states/eV per atom
**Total moment**: 0.0 Bohr magnetons per cell
**DFT formation energy**: -0.398 eV per atom